# 1
# PBE-GGA La6Cd2Fe, relaxed
data_La6Cd2Fe
_chemical_formula_sum 'La12 Cd4 Fe2'
_symmetry_space_group_name_H-M 'P 1 21/c 1'
_symmetry_Int_Tables_number 14
_symmetry_space_group_name_Hall '-P 2ybc'
_cell_length_a 7.483
_cell_length_b 7.376
_cell_length_c 12.767
_cell_angle_alpha 90.00
_cell_angle_beta 125.71
_cell_angle_gamma 90.00
loop_
_atom_site_label
_atom_site_type_symbol
_atom_site_fract_x
_atom_site_fract_y
_atom_site_fract_z
La1 La 0.190 0.000 0.253
La2 La 0.278 0.248 0.531
La3 La 0.280 0.749 0.031
Cd1 Cd 0.255 0.501 0.254
Fe1 Fe 0.000 0.000 0.000
# E: -82.203 eV per cell
# Energy of formation: -0.14 eV per atom

# 2
# PBE-GGA LiLa2CdFe, relaxed
data_LiLa2CdFe
_chemical_formula_sum 'Li1 La2 Cd1 Fe1'
_symmetry_space_group_name_H-M 'P 4/m m m'
_symmetry_Int_Tables_number 123
_symmetry_space_group_name_Hall '-P 4 2'
_cell_length_a 5.113
_cell_length_b 5.113
_cell_length_c 5.275
_cell_angle_alpha 90.00
_cell_angle_beta 90.00
_cell_angle_gamma 90.00
loop_
_atom_site_label
_atom_site_type_symbol
_atom_site_fract_x
_atom_site_fract_y
_atom_site_fract_z
Li1 Li 0.000 0.000 0.000
La1 La 0.000 0.500 0.500
Cd1 Cd 0.500 0.500 0.000
Fe1 Fe 0.500 0.500 0.500
# E: -21.140 eV per cell
# Polymorph energy (0 for the lowest one): 0.0000 eV/atom
# Energy of formation: 0.00 eV per atom

# 3
# PBE-GGA LiLa2CdFe, relaxed
data_LiLa2CdFe
_chemical_formula_sum 'Li1 La2 Cd1 Fe1'
_symmetry_space_group_name_H-M 'P 4/m m m'
_symmetry_Int_Tables_number 123
_symmetry_space_group_name_Hall '-P 4 2'
_cell_length_a 5.071
_cell_length_b 5.071
_cell_length_c 5.128
_cell_angle_alpha 90.00
_cell_angle_beta 90.00
_cell_angle_gamma 90.00
loop_
_atom_site_label
_atom_site_type_symbol
_atom_site_fract_x
_atom_site_fract_y
_atom_site_fract_z
Li1 Li 0.000 0.000 0.000
La1 La 0.000 0.500 0.500
Cd1 Cd 0.500 0.500 0.000
Fe1 Fe 0.000 0.000 0.500
# E: -20.976 eV per cell
# Polymorph energy (0 for the lowest one): 0.0328 eV/atom
# Energy of formation: 0.03 eV per atom